## CrNiRuO6 (PBE+U)

Data for CrNiRuO6 after structural relaxation.

Structure (POSCAR):
```
CrNiRuO6
1.0
5.019 0.000 0.000
-2.509 4.346 0.000
0.000 0.000 8.684
Cr Ni Ru O
2 2 2 12
Cartesian
0.000 2.898 2.171
2.509 1.449 6.513
0.000 0.000 0.000
0.000 0.000 4.342
0.000 2.898 6.513
2.509 1.449 2.171
-0.854 1.536 5.454
-1.606 2.839 7.571
0.854 1.536 7.571
-0.753 4.318 5.454
1.757 0.028 1.112
0.903 1.507 3.230
1.606 2.839 5.454
0.753 4.318 7.571
3.262 0.028 3.230
1.656 2.811 1.112
4.116 1.507 1.112
3.363 2.811 3.230
```

Values from the calculation:
For the density, the calculation gives 5.40 Mg/m³. As for the final energy: -0.239 Ha/atom.